LuUAu | PBE | optimized geometry

Volume, Å³ per atom: 25.586
Calculated density, g cm⁻³: 13.20
Crystal system: cubic
Formation energy from the elements, eV per atom: 0.676

Cell lengths 4.7703, 4.7703, 4.7703 Å; angles 60.00, 60.00, 60.00 degrees
Each line ends with the local moment (μB).
Sites, in units of the cell vectors:
U1 0.7500 0.7500 0.7500  2.47
Lu1 0.0000 0.0000 0.0000  0.23
Au1 0.2500 0.2500 0.2500  0.00